Entry 1:
Computed, not measured: BaAs after structural relaxation at the PBE level of DFT.

extended XYZ file:
```
8
Lattice="4.528 0.000 0.000 0.000 4.823 0.000 0.000 0.000 12.419" Properties=species:S:1:pos:R:3 pbc="T T T"
Ba 0.000 1.206 1.493
Ba 0.000 3.617 10.926
Ba 2.264 1.206 4.717
Ba 2.264 3.617 7.702
As 0.000 1.206 8.522
As 0.000 3.617 3.897
As 2.264 1.206 10.106
As 2.264 3.617 2.313
```

Calculated values
Calculated total energy (eV/atom): -4.023


Entry 2:
Computed, not measured: Dy3Tl4BiSe8 after structural relaxation at the PBE level of DFT.

extended XYZ file:
```
16
Lattice="4.220 2.436 7.747 -4.220 2.436 7.747 0.000 -4.873 7.747" Properties=species:S:1:pos:R:3 pbc="T T T"
Dy -2.110 -1.218 7.747
Dy -2.110 1.218 15.494
Dy 0.000 2.436 7.747
Tl -4.220 0.000 11.621
Tl -2.110 1.218 3.874
Tl 2.110 1.218 3.874
Tl 0.000 0.000 11.621
Bi 0.000 0.000 0.000
Se 0.000 -2.384 9.353
Se -2.064 1.192 9.353
Se 0.000 0.000 6.172
Se -2.064 -1.192 13.889
Se 2.064 1.192 9.353
Se 0.000 0.000 17.069
Se 2.064 -1.192 13.889
Se 0.000 2.384 13.889
```

Calculated values
Uncorrected formation energy (meV per atom): -1152
Calculated total energy (eV/atom): -4.591